No. 1
Density functional theory data (PBE+U) for an optimized crystal structure of NaFeS2O2.

**Symmetry**: No. 15
**Energy above the lowest structure with this stoichiometry**: 119 meV/atom
**Mass density**: 2.494 g cm⁻³
**Crystal system**: monoclinic

a = 6.457 Å, b = 6.457 Å, c = 6.610 Å
α = 95.87°, β = 95.87°, γ = 120.26°
Atoms (fractional coordinates):
Na  0.053  0.947  0.750
Na  0.947  0.053  0.250
Fe  0.426  0.574  0.750
Fe  0.574  0.426  0.250
S  0.145  0.441  0.990
S  0.441  0.145  0.490
S  0.559  0.855  0.510
S  0.855  0.559  0.010
O  0.257  0.263  0.054
O  0.263  0.257  0.554
O  0.737  0.743  0.446
O  0.743  0.737  0.946

No. 2
Density functional theory data (PBE+U) for an optimized crystal structure of Na2FeSO6.

**Symmetry**: No. 164
**Mass density**: 3.042 g cm⁻³
**E_tot**: -53.34 eV per cell
**Crystal system**: trigonal

a = 5.489 Å, b = 5.489 Å, c = 4.811 Å
α = 90.00°, β = 90.00°, γ = 120.00°
Atoms (fractional coordinates):
Na  0.333  0.667  0.367
Na  0.667  0.333  0.633
Fe  0.000  0.000  0.000
S  0.000  0.000  0.500
O  0.141  0.282  0.714
O  0.141  0.859  0.714
O  0.282  0.141  0.286
O  0.718  0.859  0.714
O  0.859  0.141  0.286
O  0.859  0.718  0.286